DFT (PBE) results for YBiIN2 after structural relaxation.

Unit cell a=4.432 b=4.432 c=5.973 alpha=90.00 beta=90.00 gamma=90.00
Space group P4/mmm (No. 123)
One atom of each set of equivalent atoms:
1 Y 0.000 0.000 0.000 x1
2 Bi 0.500 0.500 0.500 x1
3 I 0.500 0.500 0.000 x1
4 N 0.000 0.500 0.500 x2

Computed properties:
The value obtained for the energy above the most stable polymorph in this dataset is 330 meV per atom. The uncorrected formation energy is 1097.9 meV per atom. Its electronic total energy is -4.611 eV per atom. Its total moment is 0.0 μB/f.u.

DFT (PBE) results for YBiIN2 after structural relaxation.

Unit cell a=4.536 b=4.536 c=6.008 alpha=90.00 beta=90.00 gamma=90.00
Space group P4/mmm (No. 123)
One atom of each set of equivalent atoms:
1 Y 0.000 0.000 0.000 x1
2 Bi 0.500 0.500 0.500 x1
3 I 0.000 0.000 0.500 x1
4 N 0.000 0.500 0.000 x2

Computed properties:
The value obtained for the energy above the most stable polymorph in this dataset is 0 meV per atom. The uncorrected formation energy is 768.2 meV per atom. Its electronic total energy is -4.941 eV per atom. Its total moment is 0.0 μB/f.u.

DFT (PBE) results for ZnBiI2N after structural relaxation.

Unit cell a=6.014 b=6.014 c=3.766 alpha=90.00 beta=90.00 gamma=90.00
Space group P4/mmm (No. 123)
One atom of each set of equivalent atoms:
1 Zn 0.000 0.000 0.000 x1
2 Bi 0.500 0.500 0.500 x1
3 I 0.000 0.500 0.000 x2
4 N 0.000 0.000 0.500 x1

Computed properties:
The value obtained for the energy above the most stable polymorph in this dataset is 0 meV per atom. The uncorrected formation energy is 576.1 meV per atom. Its electronic total energy is -2.740 eV per atom. Its total moment is 1.6 μB/f.u.

DFT (PBE) results for ZnBiI2N after structural relaxation.

Unit cell a=6.347 b=6.347 c=4.302 alpha=90.00 beta=90.00 gamma=90.00
Space group P4/mmm (No. 123)
One atom of each set of equivalent atoms:
1 Zn 0.000 0.000 0.000 x1
2 Bi 0.500 0.500 0.500 x1
3 I 0.000 0.500 0.500 x2
4 N 0.500 0.500 0.000 x1

Computed properties:
The value obtained for the energy above the most stable polymorph in this dataset is 192 meV per atom. The uncorrected formation energy is 768.6 meV per atom. Its electronic total energy is -2.548 eV per atom. Its total moment is 0.8 μB/f.u.

DFT (PBE) results for ZrBiI2N after structural relaxation.

Unit cell a=6.074 b=6.074 c=3.995 alpha=90.00 beta=90.00 gamma=90.00
Space group P4/mmm (No. 123)
One atom of each set of equivalent atoms:
1 Zr 0.000 0.000 0.000 x1
2 Bi 0.500 0.500 0.500 x1
3 I 0.000 0.500 0.000 x2
4 N 0.000 0.000 0.500 x1

Computed properties:
The value obtained for the energy above the most stable polymorph in this dataset is 0 meV per atom. The uncorrected formation energy is -28.3 meV per atom. Its electronic total energy is -4.799 eV per atom. Its total moment is 0.0 μB/f.u.

DFT (PBE) results for ZrBiIN2 after structural relaxation.

Unit cell a=4.376 b=4.376 c=5.808 alpha=90.00 beta=90.00 gamma=90.00
Space group P4/mmm (No. 123)
One atom of each set of equivalent atoms:
1 Zr 0.000 0.000 0.000 x1
2 Bi 0.500 0.500 0.500 x1
3 I 0.000 0.000 0.500 x1
4 N 0.000 0.500 0.000 x2

Computed properties:
The value obtained for the energy above the most stable polymorph in this dataset is 0 meV per atom. The uncorrected formation energy is 560.9 meV per atom. Its electronic total energy is -5.565 eV per atom. Its total moment is 0.0 μB/f.u.

DFT (PBE) results for ZrBiI2N after structural relaxation.

Unit cell a=6.327 b=6.327 c=4.151 alpha=90.00 beta=90.00 gamma=90.00
Space group P4/mmm (No. 123)
One atom of each set of equivalent atoms:
1 Zr 0.000 0.000 0.000 x1
2 Bi 0.500 0.500 0.500 x1
3 I 0.000 0.500 0.500 x2
4 N 0.500 0.500 0.000 x1

Computed properties:
The value obtained for the energy above the most stable polymorph in this dataset is 1034 meV per atom. The uncorrected formation energy is 1006.1 meV per atom. Its electronic total energy is -3.765 eV per atom. Its total moment is 2.5 μB/f.u.

DFT (PBE) results for ZrBiIN2 after structural relaxation.

Unit cell a=4.366 b=4.366 c=5.940 alpha=90.00 beta=90.00 gamma=90.00
Space group P4/mmm (No. 123)
One atom of each set of equivalent atoms:
1 Zr 0.000 0.000 0.000 x1
2 Bi 0.500 0.500 0.500 x1
3 I 0.500 0.500 0.000 x1
4 N 0.000 0.500 0.500 x2

Computed properties:
The value obtained for the energy above the most stable polymorph in this dataset is 1061 meV per atom. The uncorrected formation energy is 1622.3 meV per atom. Its electronic total energy is -4.504 eV per atom. Its total moment is 0.0 μB/f.u.

DFT (PBE) results for NaBiI2 after structural relaxation.

Unit cell a=8.177 b=8.177 c=8.177 alpha=90.00 beta=90.00 gamma=90.00
Space group Fm-3m (No. 225)
One atom of each set of equivalent atoms:
1 Na 0.000 0.000 0.000 x4
2 Bi 0.000 0.000 0.500 x4
3 I 0.250 0.250 0.250 x8

Computed properties:
The value obtained for the energy above the most stable polymorph in this dataset is 293 meV per atom. The uncorrected formation energy is -247.5 meV per atom. Its electronic total energy is -2.323 eV per atom. Its total moment is 0.0 μB/f.u.

DFT (PBE) results for NaBiI2 after structural relaxation.

Unit cell a=6.097 b=6.097 c=19.344 alpha=90.00 beta=90.00 gamma=90.00
Space group I-42d (No. 122)
One atom of each set of equivalent atoms:
1 Na 0.000 0.000 0.000 x4
2 Bi 0.000 0.000 0.500 x4
3 I 0.235 0.250 0.625 x8

Computed properties:
The value obtained for the energy above the most stable polymorph in this dataset is 199 meV per atom. The uncorrected formation energy is -340.8 meV per atom. Its electronic total energy is -2.416 eV per atom. Its total moment is 0.0 μB/f.u.

DFT (PBE) results for NaBi3I after structural relaxation.

Unit cell a=5.651 b=5.651 c=5.651 alpha=90.00 beta=90.00 gamma=90.00
Space group Pm-3m (No. 221)
One atom of each set of equivalent atoms:
1 Na 0.000 0.000 0.000 x1
2 Bi 0.000 0.000 0.500 x3
3 I 0.500 0.500 0.500 x1

Computed properties:
The value obtained for the energy above the most stable polymorph in this dataset is 0 meV per atom. The uncorrected formation energy is 621.0 meV per atom. Its electronic total energy is -2.281 eV per atom. Its total moment is 0.0 μB/f.u.

DFT (PBE) results for Na4BiI2 after structural relaxation.

Unit cell a=6.077 b=6.077 c=16.523 alpha=90.00 beta=90.00 gamma=90.00
Space group I4/mmm (No. 139)
One atom of each set of equivalent atoms:
1 Na 0.000 0.000 0.185 x4
2 Na 0.000 0.500 0.000 x4
3 Bi 0.000 0.000 0.000 x2
4 I 0.000 0.000 0.365 x4

Computed properties:
The uncorrected formation energy is -587.7 meV per atom. Its electronic total energy is -2.339 eV per atom. Its total moment is 1.0 μB/f.u.